# 1
Here is an optimized crystal structure of Er2ZnSi2 from Alexandria. Energies are from PBE.

Geometry as POSCAR:
```
Er2ZnSi2
1.0
5.2553 -2.0887 0.0000
5.2553 2.0887 0.0000
-5.1257 0.0000 9.0778
Er Zn Si
4 2 4
Direct
0.1034 0.1034 0.4103 Er
0.2932 0.2932 0.8431 Er
0.7068 0.7068 0.1569 Er
0.8966 0.8966 0.5897 Er
0.4382 0.4382 0.1892 Zn
0.5618 0.5618 0.8108 Zn
0.0412 0.0412 0.9143 Si
0.3774 0.3774 0.3892 Si
0.6226 0.6226 0.6108 Si
0.9588 0.9588 0.0857 Si
```

Computed properties:
Total magnetization = 0.00 μB/atom
ΔE_f (raw) = -0.6437 eV/atom


# 2
Here is an optimized crystal structure of KAg2Cl2 from Alexandria. Energies are from PBE.

Geometry as POSCAR:
```
KAg2Cl2
1.0
5.1076 0.0000 0.0000
0.0000 5.1076 0.0000
0.0000 0.0000 10.0817
K Ag Cl
2 4 4
Direct
0.0000 0.0000 0.0000 K
0.5000 0.5000 0.5000 K
0.0000 0.0000 0.3648 Ag
0.0000 0.0000 0.6352 Ag
0.5000 0.5000 0.1352 Ag
0.5000 0.5000 0.8648 Ag
0.0000 0.5000 0.2500 Cl
0.0000 0.5000 0.7500 Cl
0.5000 0.0000 0.2500 Cl
0.5000 0.0000 0.7500 Cl
```

Computed properties:
Total magnetization = 0.10 μB/atom
ΔE_f (raw) = -0.5922 eV/atom


# 3
Here is an optimized crystal structure of ZnFe2Co from Alexandria. Energies are from PBE.

Geometry as POSCAR:
```
ZnFe2Co
1.0
2.5698 0.0000 0.0000
-1.2849 2.2255 0.0000
0.0000 0.0000 25.0612
Zn Fe Co
3 6 3
Direct
0.0000 0.0000 0.0000 Zn
0.3333 0.6667 0.6667 Zn
0.6667 0.3333 0.3333 Zn
0.0000 0.0000 0.2463 Fe
0.0000 0.0000 0.4202 Fe
0.3333 0.6667 0.0869 Fe
0.3333 0.6667 0.9130 Fe
0.6667 0.3333 0.5797 Fe
0.6667 0.3333 0.7536 Fe
0.0000 0.0000 0.8333 Co
0.3333 0.6667 0.4999 Co
0.6667 0.3333 0.1666 Co
```

Computed properties:
Total magnetization = 1.53 μB/atom
Formation enthalpy at 0 K = 82 meV per atom


# 4
Here is an optimized crystal structure of DyTlPbI6 from Alexandria. Energies are from PBE.

Geometry as POSCAR:
```
DyTlPbI6
1.0
8.0921 0.0000 0.0000
-4.0460 7.0079 0.0000
0.0000 0.0000 15.1933
Dy Tl Pb I
2 2 2 12
Direct
0.3333 0.6667 0.2500 Dy
0.6667 0.3333 0.7500 Dy
0.0000 0.0000 0.0000 Tl
0.0000 0.0000 0.5000 Tl
0.3333 0.6667 0.7500 Pb
0.6667 0.3333 0.2500 Pb
0.0191 0.3710 0.1324 I
0.0191 0.6482 0.3676 I
0.3518 0.3710 0.3676 I
0.3518 0.9809 0.1324 I
0.3710 0.0191 0.6324 I
0.3710 0.3518 0.8676 I
0.6290 0.6482 0.1324 I
0.6290 0.9809 0.3676 I
0.6482 0.0191 0.8676 I
0.6482 0.6290 0.6324 I
0.9809 0.3518 0.6324 I
0.9809 0.6290 0.8676 I
```

Computed properties:
Total magnetization = 0.00 μB/atom
ΔE_f (raw) = -0.9830 eV/atom


# 5
Here is an optimized crystal structure of BeTl3F6 from Alexandria. Energies are from PBE.

Geometry as POSCAR:
```
BeTl3F6
1.0
5.1506 -6.3384 0.0000
5.1506 6.3384 0.0000
0.0000 0.0000 5.7429
Be Tl F
2 6 12
Direct
0.2178 0.7822 0.5000 Be
0.7822 0.2178 0.0000 Be
0.0721 0.2888 0.5336 Tl
0.2888 0.0721 0.0336 Tl
0.4004 0.5996 0.0741 Tl
0.5996 0.4004 0.5741 Tl
0.7112 0.9279 0.5336 Tl
0.9279 0.7112 0.0336 Tl
0.0964 0.9036 0.4700 F
0.1448 0.6104 0.3680 F
0.2488 0.7512 0.7659 F
0.3493 0.3780 0.8005 F
0.3780 0.3493 0.3005 F
0.3896 0.8552 0.3680 F
0.6104 0.1448 0.8680 F
0.6220 0.6507 0.8005 F
0.6507 0.6220 0.3005 F
0.7512 0.2488 0.2659 F
0.8552 0.3896 0.8680 F
0.9036 0.0964 0.9700 F
```

Computed properties:
Total magnetization = 0.00 μB/atom
ΔE_f (raw) = -2.2172 eV/atom


# 6
Here is an optimized crystal structure of Th11In9Tc4 from Alexandria. Energies are from PBE.

Geometry as POSCAR:
```
Th11In9Tc4
1.0
7.3964 -11.0076 0.0000
7.3964 11.0076 0.0000
0.0000 0.0000 3.9207
Th In Tc
11 9 4
Direct
0.0000 0.0000 0.0000 Th
0.0806 0.4195 0.0000 Th
0.1583 0.8417 0.0000 Th
0.3150 0.3150 0.0000 Th
0.3756 0.6244 0.0000 Th
0.4195 0.0806 0.0000 Th
0.5805 0.9194 0.0000 Th
0.6244 0.3756 0.0000 Th
0.6850 0.6850 0.0000 Th
0.8417 0.1583 0.0000 Th
0.9194 0.5805 0.0000 Th
0.0769 0.2186 0.5000 In
0.1583 0.6355 0.5000 In
0.2186 0.0769 0.5000 In
0.3645 0.8417 0.5000 In
0.5000 0.5000 0.5000 In
0.6355 0.1583 0.5000 In
0.7814 0.9231 0.5000 In
0.8417 0.3645 0.5000 In
0.9231 0.7814 0.5000 In
0.2457 0.4501 0.5000 Tc
0.4501 0.2457 0.5000 Tc
0.5499 0.7543 0.5000 Tc
0.7543 0.5499 0.5000 Tc
```

Computed properties:
Total magnetization = 0.00 μB/atom
Formation enthalpy at 0 K = -293 meV per atom


# 7
Here is an optimized crystal structure of KSb3H from Alexandria. Energies are from PBE.

Geometry as POSCAR:
```
KSb3H
1.0
4.9272 0.0000 0.0000
0.0000 4.9272 0.0000
0.0000 0.0000 4.9272
K Sb H
1 3 1
Direct
0.0000 0.0000 0.0000 K
0.0000 0.5000 0.5000 Sb
0.5000 0.0000 0.5000 Sb
0.5000 0.5000 0.0000 Sb
0.5000 0.5000 0.5000 H
```

Computed properties:
Relative energy among the computed polymorphs = 0.0 meV per atom
Total magnetization = 0.00 μB/atom


# 8
Here is an optimized crystal structure of Pa2TlPd2Se6 from Alexandria. Energies are from PBE.

Geometry as POSCAR:
```
Pa2TlPd2Se6
1.0
6.8821 0.0000 0.0000
-2.4938 7.0737 0.0000
-3.4345 -2.7112 6.1670
Pa Tl Pd Se
2 1 2 6
Direct
0.1745 0.3305 0.1668 Pa
0.8255 0.6695 0.8332 Pa
0.5000 0.0000 0.5000 Tl
0.2938 0.3677 0.7842 Pd
0.7062 0.6323 0.2158 Pd
0.0448 0.0331 0.7896 Se
0.2896 0.6576 0.0415 Se
0.3347 0.5967 0.5801 Se
0.6653 0.4033 0.4199 Se
0.7104 0.3424 0.9585 Se
0.9552 0.9669 0.2104 Se
```

Computed properties:
Total magnetization = 0.00 μB/atom
ΔE_f (raw) = -0.8779 eV/atom


# 9
Here is an optimized crystal structure of Tb5PmDy2Y from Alexandria. Energies are from PBE.

Geometry as POSCAR:
```
Tb5PmDy2Y
1.0
2.8098 -10.0175 0.0000
2.8098 10.0175 0.0000
0.0000 0.0000 10.5977
Tb Pm Dy Y
10 2 4 2
Direct
0.0169 0.9831 0.5000 Tb
0.2805 0.7195 0.7828 Tb
0.3000 0.7000 0.1825 Tb
0.3923 0.6077 0.4997 Tb
0.4784 0.5216 0.2138 Tb
0.5216 0.4784 0.7138 Tb
0.6077 0.3923 0.9997 Tb
0.7000 0.3000 0.6825 Tb
0.7195 0.2805 0.2828 Tb
0.9831 0.0169 0.0000 Tb
0.2008 0.7992 0.4865 Pm
0.7992 0.2008 0.9865 Pm
0.1100 0.8900 0.2113 Dy
0.1139 0.8861 0.7940 Dy
0.8861 0.1139 0.2940 Dy
0.8900 0.1100 0.7113 Dy
0.4128 0.5872 0.9297 Y
0.5872 0.4128 0.4297 Y
```

Computed properties:
Total magnetization = 0.00 μB/atom
Formation enthalpy at 0 K = 156 meV per atom


# 10
Here is an optimized crystal structure of KPa2OsN5 from Alexandria. Energies are from PBE.

Geometry as POSCAR:
```
KPa2OsN5
1.0
-3.3684 3.3684 5.7653
3.3684 -3.3684 5.7653
3.3684 3.3684 -5.7653
K Pa Os N
2 4 2 10
Direct
0.2500 0.2500 0.0000 K
0.7500 0.7500 0.0000 K
0.1892 0.6892 0.8784 Pa
0.3108 0.1892 0.5000 Pa
0.6892 0.8108 0.5000 Pa
0.8108 0.3108 0.1216 Pa
0.2500 0.7500 0.5000 Os
0.7500 0.2500 0.5000 Os
0.0000 0.0000 0.0000 N
0.0085 0.2364 0.5000 N
0.2364 0.7364 0.2279 N
0.2636 0.4915 0.5000 N
0.4915 0.9915 0.2279 N
0.5000 0.5000 0.0000 N
0.5085 0.0085 0.7721 N
0.7364 0.5085 0.5000 N
0.7636 0.2636 0.7721 N
0.9915 0.7636 0.5000 N
```

Computed properties:
Total magnetization = 0.00 μB/atom
ΔE_f (raw) = -0.7846 eV/atom